The following is a DFT calculation (PBE) of a relaxed structure of Zr4GeC2N.

Its total DFT energy (no corrections) is -138.907 eV/cell. The calculation puts the density of states at the Fermi level at 0.5088 states/eV per atom. The value obtained for the total magnetization is 0.0000 μB per atom.

Unit cell a=6.0934 b=6.0934 c=7.1842 alpha=90.00 beta=90.00 gamma=90.00
Closest atoms and distances in Å follow each position.
Space group I-42m (No. 121)
Asymmetric unit:
Zr 0.2023 0.2023 0.1710 (multiplicity 8)  1 N 2.13, 2 C 2.27
Ge 0.0000 0.0000 0.5000 (multiplicity 2)  8 Zr 2.84-2.94
C 0.0000 0.5000 0.2500 (multiplicity 4)  4 Zr 2.27
N 0.0000 0.0000 0.0000 (multiplicity 2)  4 Zr 2.13